5
Lattice="5.634 0.000 0.000 0.000 5.634 0.000 0.000 0.000 4.582" Properties=species:S:1:pos:R:3 comment="CsNa2PPd PBE optimized geometry" space_group="No. 123" formation_energy_ev_per_atom=-0.217 total_energy_ev_per_cell=-15.179 e_above_lowest_polymorph_ev_per_atom=0.020 pbc="T T T"
Cs 2.817 2.817 2.291
P 0.000 0.000 2.291
Pd 0.000 0.000 0.000
Na 0.000 2.817 0.000
Na 2.817 0.000 0.000